# MnGaPCl2 (PBE, optimized geometry)
data_MnGaPCl2
_cell_length_a 4.7288
_cell_length_b 4.7288
_cell_length_c 5.0488
_cell_angle_alpha 90.00
_cell_angle_beta 90.00
_cell_angle_gamma 90.00
_symmetry_space_group_name_H-M 'P 4/m m m'
_symmetry_Int_Tables_number 123
_symmetry_space_group_name_Hall '-P 4 2'
loop_
_atom_site_label
_atom_site_type_symbol
_atom_site_fract_x
_atom_site_fract_y
_atom_site_fract_z
_atom_site_occupancy
Mn1 Mn 0.0000 0.0000 0.0000 1
Ga1 Ga 0.5000 0.5000 0.5000 1
P1 P 0.5000 0.5000 0.0000 1
Cl1 Cl 0.0000 0.5000 0.5000 1
# Polymorph energy (0 for the lowest one)   371 meV per atom
# Total moment   0.935 μB per atom
# N(E_F)   2.01 states/eV/f.u.
# Raw formation energy   0.181 eV/atom



# MnGaPCl2 (PBE, optimized geometry)
data_MnGaPCl2
_cell_length_a 5.0477
_cell_length_b 5.0477
_cell_length_c 4.5691
_cell_angle_alpha 90.00
_cell_angle_beta 90.00
_cell_angle_gamma 90.00
_symmetry_space_group_name_H-M 'P 4/m m m'
_symmetry_Int_Tables_number 123
_symmetry_space_group_name_Hall '-P 4 2'
loop_
_atom_site_label
_atom_site_type_symbol
_atom_site_fract_x
_atom_site_fract_y
_atom_site_fract_z
_atom_site_occupancy
Mn1 Mn 0.0000 0.0000 0.0000 1
Ga1 Ga 0.5000 0.5000 0.5000 1
P1 P 0.0000 0.0000 0.5000 1
Cl1 Cl 0.0000 0.5000 0.0000 1
# Polymorph energy (0 for the lowest one)   0 meV per atom
# Total moment   0.595 μB per atom
# N(E_F)   1.57 states/eV/f.u.
# Raw formation energy   -0.190 eV/atom



# MnGaS2Cl (PBE, optimized geometry)
data_MnGaS2Cl
_cell_length_a 4.5919
_cell_length_b 4.5919
_cell_length_c 4.9893
_cell_angle_alpha 90.00
_cell_angle_beta 90.00
_cell_angle_gamma 90.00
_symmetry_space_group_name_H-M 'P 4/m m m'
_symmetry_Int_Tables_number 123
_symmetry_space_group_name_Hall '-P 4 2'
loop_
_atom_site_label
_atom_site_type_symbol
_atom_site_fract_x
_atom_site_fract_y
_atom_site_fract_z
_atom_site_occupancy
Mn1 Mn 0.0000 0.0000 0.0000 1
Ga1 Ga 0.5000 0.5000 0.5000 1
S1 S 0.0000 0.5000 0.0000 1
Cl1 Cl 0.0000 0.0000 0.5000 1
# Polymorph energy (0 for the lowest one)   0 meV per atom
# Total moment   0.701 μB per atom
# N(E_F)   3.23 states/eV/f.u.
# Raw formation energy   -0.236 eV/atom



# MnGaS2Cl (PBE, optimized geometry)
data_MnGaS2Cl
_cell_length_a 4.7457
_cell_length_b 4.7457
_cell_length_c 4.7095
_cell_angle_alpha 90.00
_cell_angle_beta 90.00
_cell_angle_gamma 90.00
_symmetry_space_group_name_H-M 'P 4/m m m'
_symmetry_Int_Tables_number 123
_symmetry_space_group_name_Hall '-P 4 2'
loop_
_atom_site_label
_atom_site_type_symbol
_atom_site_fract_x
_atom_site_fract_y
_atom_site_fract_z
_atom_site_occupancy
Mn1 Mn 0.0000 0.0000 0.0000 1
Ga1 Ga 0.5000 0.5000 0.5000 1
S1 S 0.0000 0.5000 0.5000 1
Cl1 Cl 0.5000 0.5000 0.0000 1
# Polymorph energy (0 for the lowest one)   310 meV per atom
# Total moment   0.969 μB per atom
# N(E_F)   0.95 states/eV/f.u.
# Raw formation energy   0.074 eV/atom



# MnGaSe2Cl (PBE, optimized geometry)
data_MnGaSe2Cl
_cell_length_a 4.5702
_cell_length_b 4.5702
_cell_length_c 5.1599
_cell_angle_alpha 90.00
_cell_angle_beta 90.00
_cell_angle_gamma 90.00
_symmetry_space_group_name_H-M 'P 4/m m m'
_symmetry_Int_Tables_number 123
_symmetry_space_group_name_Hall '-P 4 2'
loop_
_atom_site_label
_atom_site_type_symbol
_atom_site_fract_x
_atom_site_fract_y
_atom_site_fract_z
_atom_site_occupancy
Mn1 Mn 0.0000 0.0000 0.0000 1
Ga1 Ga 0.0000 0.0000 0.5000 1
Se1 Se 0.0000 0.5000 0.0000 1
Cl1 Cl 0.5000 0.5000 0.5000 1
# Total moment   0.201 μB per atom
# N(E_F)   3.89 states/eV/f.u.
# Raw formation energy   -0.041 eV/atom



# MnTlGaCl4 (PBE, optimized geometry)
data_MnTlGaCl4
_cell_length_a 7.0109
_cell_length_b 7.2153
_cell_length_c 8.9968
_cell_angle_alpha 90.00
_cell_angle_beta 107.66
_cell_angle_gamma 90.00
_symmetry_space_group_name_H-M 'P 1 21/m 1'
_symmetry_Int_Tables_number 11
loop_
_symmetry_equiv_pos_as_xyz
'x,y,z'
'-x,-y,-z'
'-x,y+1/2,-z'
'x,-y+1/2,z'
loop_
_atom_site_label
_atom_site_type_symbol
_atom_site_fract_x
_atom_site_fract_y
_atom_site_fract_z
_atom_site_occupancy
Mn1 Mn 0.2262 0.2500 0.2831 1
Tl1 Tl 0.2054 0.7500 0.5269 1
Ga1 Ga 0.2485 0.7500 0.0220 1
Cl1 Cl 0.0062 0.5035 0.7885 1
Cl2 Cl 0.3851 0.2500 0.5515 1
Cl3 Cl 0.4577 0.2500 0.1428 1
# Total moment   0.714 μB per atom
# N(E_F)   0.00 states/eV/f.u.
# Raw formation energy   -0.947 eV/atom



# GaMo3Cl (PBE, optimized geometry)
data_GaMo3Cl
_cell_length_a 4.4024
_cell_length_b 4.4024
_cell_length_c 4.4024
_cell_angle_alpha 90.00
_cell_angle_beta 90.00
_cell_angle_gamma 90.00
_symmetry_space_group_name_H-M 'P m -3 m'
_symmetry_Int_Tables_number 221
_symmetry_space_group_name_Hall '-P 4 2 3'
loop_
_atom_site_label
_atom_site_type_symbol
_atom_site_fract_x
_atom_site_fract_y
_atom_site_fract_z
_atom_site_occupancy
Ga1 Ga 0.0000 0.0000 0.0000 1
Mo1 Mo 0.0000 0.5000 0.5000 1
Cl1 Cl 0.5000 0.5000 0.5000 1
# Polymorph energy (0 for the lowest one)   0 meV per atom
# Total moment   0.000 μB per atom
# N(E_F)   3.37 states/eV/f.u.
# Raw formation energy   0.956 eV/atom



# Ga2Mo2Cl (PBE, optimized geometry)
data_Ga2Mo2Cl
_cell_length_a 7.4367
_cell_length_b 7.4367
_cell_length_c 3.1938
_cell_angle_alpha 90.00
_cell_angle_beta 90.00
_cell_angle_gamma 90.00
_symmetry_space_group_name_H-M 'P 4/m b m'
_symmetry_Int_Tables_number 127
_symmetry_space_group_name_Hall '-P 4 2ab'
loop_
_atom_site_label
_atom_site_type_symbol
_atom_site_fract_x
_atom_site_fract_y
_atom_site_fract_z
_atom_site_occupancy
Ga1 Ga 0.1754 0.3246 0.0000 1
Mo1 Mo 0.1131 0.6131 0.5000 1
Cl1 Cl 0.0000 0.0000 0.5000 1
# Polymorph energy (0 for the lowest one)   0 meV per atom
# Total moment   0.000 μB per atom
# N(E_F)   3.11 states/eV/f.u.
# Raw formation energy   0.196 eV/atom



# Ga2Mo2Cl (PBE, optimized geometry)
data_Ga2Mo2Cl
_cell_length_a 3.5718
_cell_length_b 3.5718
_cell_length_c 13.3854
_cell_angle_alpha 90.00
_cell_angle_beta 90.00
_cell_angle_gamma 90.00
_symmetry_space_group_name_H-M 'I 4/m m m'
_symmetry_Int_Tables_number 139
_symmetry_space_group_name_Hall '-I 4 2'
loop_
_atom_site_label
_atom_site_type_symbol
_atom_site_fract_x
_atom_site_fract_y
_atom_site_fract_z
_atom_site_occupancy
Ga1 Ga 0.0000 0.5000 0.2500 1
Mo1 Mo 0.0000 0.0000 0.0990 1
Cl1 Cl 0.0000 0.0000 0.5000 1
# Polymorph energy (0 for the lowest one)   372 meV per atom
# Total moment   0.402 μB per atom
# N(E_F)   5.05 states/eV/f.u.
# Raw formation energy   0.568 eV/atom



# GaMo2Cl (PBE, optimized geometry)
data_GaMo2Cl
_cell_length_a 3.9236
_cell_length_b 3.9236
_cell_length_c 18.1081
_cell_angle_alpha 90.00
_cell_angle_beta 90.00
_cell_angle_gamma 90.00
_symmetry_space_group_name_H-M 'I -4 2 d'
_symmetry_Int_Tables_number 122
_symmetry_space_group_name_Hall 'I -4 2bw'
loop_
_atom_site_label
_atom_site_type_symbol
_atom_site_fract_x
_atom_site_fract_y
_atom_site_fract_z
_atom_site_occupancy
Ga1 Ga 0.0000 0.0000 0.0000 1
Mo1 Mo 0.2164 0.2500 0.6250 1
Cl1 Cl 0.0000 0.0000 0.5000 1
# Polymorph energy (0 for the lowest one)   14 meV per atom
# Total moment   0.000 μB per atom
# N(E_F)   3.65 states/eV/f.u.
# Raw formation energy   0.673 eV/atom



# Ga2MoCl8 (PBE, optimized geometry)
data_Ga2MoCl8
_cell_length_a 11.9471
_cell_length_b 9.6783
_cell_length_c 6.6346
_cell_angle_alpha 90.00
_cell_angle_beta 91.42
_cell_angle_gamma 90.00
_symmetry_space_group_name_H-M 'C 1 2/m 1'
_symmetry_Int_Tables_number 12
loop_
_symmetry_equiv_pos_as_xyz
'x,y,z'
'-x,-y,-z'
'-x,y,-z'
'x,-y,z'
'x+1/2,y+1/2,z'
'-x+1/2,-y+1/2,-z'
'-x+1/2,y+1/2,-z'
'x+1/2,-y+1/2,z'
loop_
_atom_site_label
_atom_site_type_symbol
_atom_site_fract_x
_atom_site_fract_y
_atom_site_fract_z
_atom_site_occupancy
Ga1 Ga 0.2171 0.0000 0.1735 1
Mo1 Mo 0.0000 0.0000 0.5000 1
Cl1 Cl 0.1124 0.5000 0.7206 1
Cl2 Cl 0.1142 0.1724 0.3189 1
Cl3 Cl 0.1879 0.0000 0.8490 1
# Total moment   0.364 μB per atom
# Raw formation energy   -0.888 eV/atom



# GaMo2Cl (PBE, optimized geometry)
data_GaMo2Cl
_cell_length_a 6.2697
_cell_length_b 6.2697
_cell_length_c 6.2697
_cell_angle_alpha 90.00
_cell_angle_beta 90.00
_cell_angle_gamma 90.00
_symmetry_space_group_name_H-M 'F m -3 m'
_symmetry_Int_Tables_number 225
_symmetry_space_group_name_Hall '-F 4 2 3'
loop_
_atom_site_label
_atom_site_type_symbol
_atom_site_fract_x
_atom_site_fract_y
_atom_site_fract_z
_atom_site_occupancy
Ga1 Ga 0.0000 0.0000 0.0000 1
Mo1 Mo 0.2500 0.2500 0.2500 1
Cl1 Cl 0.0000 0.0000 0.5000 1
# Polymorph energy (0 for the lowest one)   0 meV per atom
# Total moment   0.304 μB per atom
# N(E_F)   6.22 states/eV/f.u.
# Raw formation energy   0.660 eV/atom



# Ga2MoPCl (PBE, optimized geometry)
data_Ga2MoPCl
_cell_length_a 4.9642
_cell_length_b 4.9642
_cell_length_c 4.5624
_cell_angle_alpha 90.00
_cell_angle_beta 90.00
_cell_angle_gamma 90.00
_symmetry_space_group_name_H-M 'P 4/m m m'
_symmetry_Int_Tables_number 123
_symmetry_space_group_name_Hall '-P 4 2'
loop_
_atom_site_label
_atom_site_type_symbol
_atom_site_fract_x
_atom_site_fract_y
_atom_site_fract_z
_atom_site_occupancy
Ga1 Ga 0.0000 0.5000 0.0000 1
Mo1 Mo 0.0000 0.0000 0.5000 1
P1 P 0.5000 0.5000 0.5000 1
Cl1 Cl 0.5000 0.5000 0.0000 1
# Total moment   0.765 μB per atom
# N(E_F)   3.07 states/eV/f.u.
# Raw formation energy   1.205 eV/atom